Crystalline Li3Pm2ZnNi12 at its relaxed geometry. Source: the Alexandria database, functional GGA-PBE.

POSCAR file:
```
Li3Pm2ZnNi12
1.0
-0.386 -1.538 -7.028
-2.327 -6.544 -1.917
-6.528 -0.533 -3.001
Ni Li Pm Zn
12 3 2 1
direct
0.611 0.139 0.139
0.389 0.861 0.861
0.631 0.113 0.631
0.861 0.861 0.389
0.631 0.631 0.113
0.139 0.139 0.611
0.369 0.887 0.369
0.113 0.631 0.631
0.369 0.369 0.887
0.861 0.389 0.861
0.139 0.611 0.139
0.887 0.369 0.369
0.000 0.500 0.000
0.000 0.000 0.500
0.500 0.000 0.000
0.388 0.388 0.388
0.612 0.612 0.612
0.000 0.000 0.000
```

Summary:
DFT formation energy ... 0.468 eV/atom